# HoHfFe, relaxed, DFT PBE
# - VASP energy: -7.663 eV per atom
# - Symmetry: I4mm (107)
# - E_form: 1 meV per atom
# - Distance to the lowest polymorph of the same formula: 4 meV per atom
data_HoHfFe
_chemical_formula_sum 'Ho1 Hf1 Fe1'
_cell_length_a 3.265
_cell_length_b 3.265
_cell_length_c 6.273
_cell_angle_alpha 105.08
_cell_angle_beta 105.08
_cell_angle_gamma 90.00
_symmetry_space_group_name_H-M 'P 1'
_symmetry_Int_Tables_number 1
_symmetry_space_group_name_Hall 'P 1'
loop_
_atom_site_label
_atom_site_fract_x
_atom_site_fract_y
_atom_site_fract_z
Hf1 0.041 0.041 0.082
Ho1 0.309 0.309 0.618
Fe1 0.650 0.650 0.300

***

# CdOsPb2O8, relaxed, DFT PBE
# - Formation energy from raw total energies: -0.8899 eV per atom
# - VASP energy: -5.825 eV per atom
# - Symmetry: P2/m (10)
data_CdOsPb2O8
_chemical_formula_sum 'Cd1 Os1 Pb2 O8'
_cell_length_a 4.991
_cell_length_b 4.983
_cell_length_c 6.969
_cell_angle_alpha 90.00
_cell_angle_beta 90.00
_cell_angle_gamma 91.39
_symmetry_space_group_name_H-M 'P 1'
_symmetry_Int_Tables_number 1
_symmetry_space_group_name_Hall 'P 1'
loop_
_atom_site_label
_atom_site_fract_x
_atom_site_fract_y
_atom_site_fract_z
Cd1 0.000 0.000 0.500
Os1 0.000 0.000 0.000
Pb1 0.500 0.500 0.749
Pb2 0.500 0.500 0.251
O1 0.178 0.818 0.200
O2 0.723 0.727 0.000
O3 0.822 0.182 0.200
O4 0.822 0.182 0.800
O5 0.277 0.273 0.000
O6 0.178 0.818 0.800
O7 0.693 0.695 0.500
O8 0.307 0.305 0.500

***

Repeat the first record exactly.
# HoHfFe, relaxed, DFT PBE
# - VASP energy: -7.663 eV per atom
# - Symmetry: I4mm (107)
# - E_form: 1 meV per atom
# - Distance to the lowest polymorph of the same formula: 4 meV per atom
data_HoHfFe
_chemical_formula_sum 'Ho1 Hf1 Fe1'
_cell_length_a 3.265
_cell_length_b 3.265
_cell_length_c 6.273
_cell_angle_alpha 105.08
_cell_angle_beta 105.08
_cell_angle_gamma 90.00
_symmetry_space_group_name_H-M 'P 1'
_symmetry_Int_Tables_number 1
_symmetry_space_group_name_Hall 'P 1'
loop_
_atom_site_label
_atom_site_fract_x
_atom_site_fract_y
_atom_site_fract_z
Hf1 0.041 0.041 0.082
Ho1 0.309 0.309 0.618
Fe1 0.650 0.650 0.300